# SmTh2Hg3

A geometry-optimized SmTh2Hg3 structure (GGA-PBE, Alexandria).

```
SmTh2Hg3
1.0
3.798 0.000 0.000
0.000 3.798 0.000
0.000 0.000 11.537
Sm Th Hg
1 2 3
Cartesian
0.000 0.000 0.000 Sm
0.000 0.000 3.833 Th
0.000 0.000 7.704 Th
1.899 1.899 1.836 Hg
1.899 1.899 5.769 Hg
1.899 1.899 9.701 Hg
```

Computed properties:
**Formation enthalpy at 0 K**: -0.287 eV/atom
**Raw total energy**: -22.2 eV per cell
**Total magnetic moment**: 0.001 μB/f.u.

# Sm4ThHg

A geometry-optimized Sm4ThHg structure (GGA-PBE, Alexandria).

```
Sm4ThHg
1.0
4.524 -7.116 0.000
4.524 7.116 0.000
-2.310 0.000 5.962
Sm Th Hg
8 2 2
Cartesian
1.392 4.458 5.602 Sm
1.121 1.409 3.831 Sm
4.191 4.458 3.341 Sm
2.276 -1.409 0.850 Sm
4.462 1.409 5.112 Sm
2.547 -4.458 2.621 Sm
5.617 -1.409 2.131 Sm
5.346 -4.458 0.360 Sm
3.946 1.553 1.491 Th
2.791 -1.553 4.472 Th
3.946 7.094 1.491 Hg
2.791 -7.094 4.472 Hg
```

Computed properties:
**Formation enthalpy at 0 K**: -0.031 eV/atom
**Raw total energy**: -53.6 eV per cell
**E above lowest polymorph**: 99 meV/atom
**Total magnetic moment**: 0.000 μB/f.u.

# Sm4ThHg

A geometry-optimized Sm4ThHg structure (GGA-PBE, Alexandria).

```
Sm4ThHg
1.0
3.643 0.000 0.000
0.000 3.643 0.000
0.000 0.000 14.217
Sm Th Hg
4 1 1
Cartesian
0.000 0.000 2.027 Sm
0.000 0.000 12.190 Sm
1.821 1.821 4.666 Sm
1.821 1.821 9.550 Sm
0.000 0.000 7.108 Th
1.821 1.821 0.000 Hg
```

Computed properties:
**Formation enthalpy at 0 K**: -0.131 eV/atom
**Raw total energy**: -27.4 eV per cell
**E above lowest polymorph**: 0 meV/atom
**Total magnetic moment**: 0.000 μB/f.u.

# Sm2ThHg5

A geometry-optimized Sm2ThHg5 structure (GGA-PBE, Alexandria).

```
Sm2ThHg5
1.0
-2.646 2.646 7.489
2.646 -2.646 7.489
2.646 2.646 -7.489
Sm Th Hg
2 1 5
Cartesian
0.000 0.000 3.488 Sm
0.000 0.000 11.489 Sm
0.000 0.000 7.489 Th
0.000 0.000 0.000 Hg
2.646 0.000 1.854 Hg
2.646 0.000 5.634 Hg
0.000 2.646 1.854 Hg
0.000 2.646 5.634 Hg
```

Computed properties:
**Formation enthalpy at 0 K**: -0.360 eV/atom
**Raw total energy**: -21.2 eV per cell
**Total magnetic moment**: 0.001 μB/f.u.

# SmTh2Hg

A geometry-optimized SmTh2Hg structure (GGA-PBE, Alexandria).

```
SmTh2Hg
1.0
4.840 0.000 0.000
0.000 4.840 0.000
0.000 0.000 5.047
Sm Th Hg
1 2 1
Cartesian
0.000 0.000 0.000 Sm
0.000 2.420 2.523 Th
2.420 0.000 2.523 Th
2.420 2.420 0.000 Hg
```

Computed properties:
**Formation enthalpy at 0 K**: -0.076 eV/atom
**Raw total energy**: -20.2 eV per cell
**E above lowest polymorph**: 0 meV/atom
**Total magnetic moment**: 0.000 μB/f.u.

# SmThHg2

A geometry-optimized SmThHg2 structure (GGA-PBE, Alexandria).

```
SmThHg2
1.0
3.768 0.000 0.000
0.000 3.768 0.000
0.000 0.000 7.769
Sm Th Hg
1 1 2
Cartesian
0.000 0.000 0.000 Sm
0.000 0.000 3.884 Th
1.884 1.884 1.864 Hg
1.884 1.884 5.904 Hg
```

Computed properties:
**Formation enthalpy at 0 K**: -0.329 eV/atom
**Raw total energy**: -14.1 eV per cell
**E above lowest polymorph**: 0 meV/atom
**Total magnetic moment**: 0.220 μB/f.u.

> What is the total magnetic moment in the fifth record?

0.000 μB/f.u.